Density functional theory data (PBE) for an optimized crystal structure of YAsAuBr2.

Output
The crystal system is tetragonal. The calculation puts the raw total energy at -3.600 eV per atom. The polymorph energy (0 for the lowest one) is 250 meV per atom. The energy relative to the elements, uncorrected is -0.3 eV per formula unit.

a = 5.1095 Å, b = 5.1095 Å, c = 5.3744 Å
α = 90.00°, β = 90.00°, γ = 90.00°
Last column: nearest neighbours and their distance in Å.
Positions (direct):
Au  0.0000  0.0000  0.0000  4 Br 2.55, 2 As 2.69
As  0.0000  0.0000  0.5000  2 Au 2.69
Y  0.5000  0.5000  0.5000  4 As 3.61, 8 Br 3.71
Br  0.0000  0.5000  0.0000  2 Au 2.55
Br  0.5000  0.0000  0.0000  2 Au 2.55